DFT (PBE) results for a geometry-optimized La3Tb6Pm structure.

Results
space group = R3 (146)
density of states at the Fermi level = 22.68 states/eV/cell
raw total energy = -4.4571 eV/atom
offset from the most stable computed form = 129 meV/atom

a = 10.011 Å, b = 10.011 Å, c = 6.972 Å
α = 44.12°, β = 44.12°, γ = 60.00°
Fractional positions:
1 La 0.349 0.349 0.952
2 La 0.598 0.598 0.205
3 La 0.100 0.100 0.699
4 Tb 0.925 0.603 0.196
5 Tb 0.276 0.925 0.196
6 Tb 0.603 0.276 0.196
7 Tb 0.097 0.425 0.701
8 Tb 0.776 0.097 0.701
9 Tb 0.425 0.776 0.701
10 Pm 0.850 0.850 0.451

=====

DFT (PBE) results for a geometry-optimized La2TbPm8 structure.

Results
space group = C2/m (12)
density of states at the Fermi level = 18.22 states/eV/cell
raw total energy = -4.7542 eV/atom
offset from the most stable computed form = 0 meV/atom

a = 5.184 Å, b = 8.190 Å, c = 9.682 Å
α = 104.68°, β = 105.53°, γ = 90.00°
Fractional positions:
1 La 0.227 0.637 0.454
2 La 0.773 0.363 0.546
3 Tb 0.500 0.000 0.000
4 Pm 0.590 0.452 0.179
5 Pm 0.319 0.092 0.639
6 Pm 0.135 0.177 0.270
7 Pm 0.044 0.728 0.088
8 Pm 0.865 0.823 0.730
9 Pm 0.681 0.908 0.361
10 Pm 0.410 0.548 0.821
11 Pm 0.956 0.272 0.912

=====

DFT (PBE) results for a geometry-optimized LaTb6Pm10 structure.

Results
space group = P-31m (162)
density of states at the Fermi level = 25.50 states/eV/cell
raw total energy = -4.5879 eV/atom

a = 6.922 Å, b = 9.869 Å, c = 9.869 Å
α = 120.00°, β = 90.00°, γ = 90.00°
Fractional positions:
1 La 0.500 0.000 0.000
2 Tb 0.695 0.374 0.374
3 Tb 0.695 0.000 0.626
4 Tb 0.695 0.626 0.000
5 Tb 0.305 0.626 0.626
6 Tb 0.305 0.000 0.374
7 Tb 0.305 0.374 0.000
8 Pm 0.818 0.723 0.723
9 Pm 0.818 0.000 0.277
10 Pm 0.818 0.277 0.000
11 Pm 0.182 0.277 0.277
12 Pm 0.182 0.000 0.723
13 Pm 0.182 0.723 0.000
14 Pm 0.500 0.333 0.667
15 Pm 0.500 0.667 0.333
16 Pm 0.000 0.667 0.333
17 Pm 0.000 0.333 0.667

=====

DFT (PBE) results for a geometry-optimized LaTb6Pm12 structure.

Results
space group = R-3m (166)
density of states at the Fermi level = 37.24 states/eV/cell
raw total energy = -4.5300 eV/atom
offset from the most stable computed form = 57 meV/atom

a = 8.861 Å, b = 8.861 Å, c = 8.861 Å
α = 99.12°, β = 99.12°, γ = 99.12°
Fractional positions:
1 La 0.000 0.000 0.000
2 Tb 0.901 0.341 0.901
3 Tb 0.901 0.901 0.341
4 Tb 0.341 0.901 0.901
5 Tb 0.099 0.099 0.659
6 Tb 0.099 0.659 0.099
7 Tb 0.659 0.099 0.099
8 Pm 0.760 0.240 0.500
9 Pm 0.355 0.083 0.355
10 Pm 0.355 0.355 0.083
11 Pm 0.917 0.645 0.645
12 Pm 0.645 0.645 0.917
13 Pm 0.645 0.917 0.645
14 Pm 0.500 0.760 0.240
15 Pm 0.240 0.500 0.760
16 Pm 0.240 0.760 0.500
17 Pm 0.500 0.240 0.760
18 Pm 0.760 0.500 0.240
19 Pm 0.083 0.355 0.355

=====

| no. | formation enthalpy at 0 K (eV/f.u.) |
| --- | --- |
| 1 | 2.74 |
| 2 | 0.19 |
| 3 | 2.22 |
| 4 | 3.65 |